## BeSiSeBr2 (GGA-PBE)

Data for a geometry-optimized BeSiSeBr2 structure.

a = 4.6135 Å, b = 4.6135 Å, c = 5.0666 Å
α = 90.00°, β = 90.00°, γ = 90.00°
Atoms (fractional coordinates):
Be 0.0000 0.0000 0.0000
Si 0.5000 0.5000 0.5000
Se 0.0000 0.0000 0.5000
Br 0.0000 0.5000 0.0000
Br 0.5000 0.0000 0.0000

Calculated values
E_form (uncorrected), eV per atom: 0.1890
Final energy, eV for the cell shown: -15.0



## RbSrN2 (GGA-PBE)

Data for a geometry-optimized RbSrN2 structure.

a = 7.9102 Å, b = 7.9102 Å, c = 7.9102 Å
α = 135.13°, β = 135.13°, γ = 65.32°
Atoms (fractional coordinates):
Rb 0.0000 0.0000 0.0000
Rb 0.7500 0.2500 0.5000
Sr 0.2500 0.7500 0.5000
Sr 0.5000 0.5000 0.0000
N 0.1845 0.6250 0.0595
N 0.3750 0.4345 0.5595
N 0.5655 0.1250 0.9405
N 0.8750 0.8155 0.4405

Calculated values
E_form (uncorrected), eV per atom: 0.8174
Final energy, eV for the cell shown: -32.1



## PrSn2Pb2 (GGA-PBE)

Data for a geometry-optimized PrSn2Pb2 structure.

a = 13.9805 Å, b = 13.9805 Å, c = 4.6507 Å
α = 90.00°, β = 90.00°, γ = 160.97°
Atoms (fractional coordinates):
Pr 0.1591 0.8409 0.7500
Pr 0.8409 0.1591 0.2500
Sn 0.2496 0.7504 0.2500
Sn 0.3558 0.6442 0.7500
Sn 0.6442 0.3558 0.2500
Sn 0.7504 0.2496 0.7500
Pb 0.0562 0.9438 0.2500
Pb 0.4454 0.5546 0.2500
Pb 0.5546 0.4454 0.7500
Pb 0.9438 0.0562 0.7500

Calculated values
Final energy, eV for the cell shown: -43.9
ΔE_f, eV per atom: -0.35